# ScTlAs2

A geometry-optimized ScTlAs2 structure (PBE, the Alexandria database).

Properties
DOS(E_F)	0.7582	states/eV per atom
total energy	-72.0	eV for the cell shown
ΔH_f (0 K)	0.00	eV per atom
density	7500	kg/m³

Cell and atoms, written as CIF:
```
data_ScTlAs2
_symmetry_space_group_name_H-M 'F -4 3 m'
_symmetry_Int_Tables_number 216
_symmetry_space_group_name_Hall 'F -4 2 3'
_cell_length_a 7.071
_cell_length_b 7.071
_cell_length_c 7.071
_cell_angle_alpha 90.00
_cell_angle_beta 90.00
_cell_angle_gamma 90.00
loop_
_atom_site_label
_atom_site_fract_x
_atom_site_fract_y
_atom_site_fract_z
Sc1 0.000 0.000 0.000
Tl1 0.250 0.250 0.250
As1 0.000 0.000 0.500
As2 0.250 0.250 0.750
```

=====

# ZrAg2P

A geometry-optimized ZrAg2P structure (PBE, the Alexandria database).

Properties
DOS(E_F)	0.8062	states/eV per atom
total energy	-41.1	eV for the cell shown
ΔH_f (0 K)	-0.22	eV per atom
density	7569	kg/m³

Cell and atoms, written as CIF:
```
data_ZrAg2P
_symmetry_space_group_name_H-M 'I 4/m m m'
_symmetry_Int_Tables_number 139
_symmetry_space_group_name_Hall '-I 4 2'
_cell_length_a 3.806
_cell_length_b 3.806
_cell_length_c 10.237
_cell_angle_alpha 90.00
_cell_angle_beta 90.00
_cell_angle_gamma 90.00
loop_
_atom_site_label
_atom_site_fract_x
_atom_site_fract_y
_atom_site_fract_z
Zr1 0.000 0.000 0.000
Ag1 0.000 0.500 0.250
P1 0.000 0.000 0.500
```

=====

# Ba2I2O7

A geometry-optimized Ba2I2O7 structure (PBE, the Alexandria database).

Properties
DOS(E_F)	0.0000	states/eV per atom
total energy	-112.9	eV for the cell shown
ΔE_f (raw)	-1.34	eV per atom
density	4034	kg/m³

Cell and atoms, written as CIF:
```
data_Ba2I2O7
_symmetry_space_group_name_H-M 'C 1 2/m 1'
_symmetry_Int_Tables_number 12
_symmetry_space_group_name_Hall '-C 2y'
_cell_length_a 8.949
_cell_length_b 9.725
_cell_length_c 6.123
_cell_angle_alpha 90.00
_cell_angle_beta 98.30
_cell_angle_gamma 90.00
loop_
_atom_site_label
_atom_site_fract_x
_atom_site_fract_y
_atom_site_fract_z
Ba1 0.000 0.217 0.000
I1 0.230 0.500 0.623
O1 0.000 0.500 0.500
O2 0.059 0.000 0.258
O3 0.200 0.349 0.797
```

=====

# Li2CdFeC

A geometry-optimized Li2CdFeC structure (PBE, the Alexandria database).

Properties
DOS(E_F)	0.3905	states/eV per atom
total energy	-21.7	eV for the cell shown
ΔH_f (0 K)	0.15	eV per atom
density	5052	kg/m³

Cell and atoms, written as CIF:
```
data_Li2CdFeC
_symmetry_space_group_name_H-M 'P 4/m m m'
_symmetry_Int_Tables_number 123
_symmetry_space_group_name_Hall '-P 4 2'
_cell_length_a 4.149
_cell_length_b 4.149
_cell_length_c 3.707
_cell_angle_alpha 90.00
_cell_angle_beta 90.00
_cell_angle_gamma 90.00
loop_
_atom_site_label
_atom_site_fract_x
_atom_site_fract_y
_atom_site_fract_z
Li1 0.000 0.500 0.000
Cd1 0.000 0.000 0.500
Fe1 0.500 0.500 0.500
C1 0.500 0.500 0.000
```